[1]
{"formula": "CrSiP2", "functional": "PBE-GGA", "state": "relaxed", "formation_energy_uncorrected_ev_per_atom": 0.123, "space_group": "R3m", "lattice_angstrom": [[2.777, 0.000, 0.000], [-1.389, 2.405, 0.000], [0.000, 0.000, 26.313]], "species": ["Cr", "Cr", "Cr", "Si", "Si", "Si", "P", "P", "P", "P", "P", "P"], "frac_coords": [[0.000, 0.000, 0.000], [0.333, 0.667, 0.667], [0.667, 0.333, 0.333], [0.000, 0.000, 0.263], [0.333, 0.667, 0.929], [0.667, 0.333, 0.596], [0.000, 0.000, 0.522], [0.000, 0.000, 0.731], [0.333, 0.667, 0.188], [0.333, 0.667, 0.398], [0.667, 0.333, 0.064], [0.667, 0.333, 0.855]]}



[2]
{"formula": "Cs2AgAu2Br6", "functional": "PBE-GGA", "state": "relaxed", "formation_energy_uncorrected_ev_per_atom": -0.744, "space_group": "C2/m", "lattice_angstrom": [[7.607, -3.784, 0.000], [7.607, 3.784, 0.000], [-3.858, 0.000, 6.918]], "species": ["Cs", "Cs", "Ag", "Au", "Au", "Br", "Br", "Br", "Br", "Br", "Br"], "frac_coords": [[0.232, 0.232, 0.213], [0.768, 0.768, 0.787], [0.000, 0.000, 0.500], [0.428, 0.428, 0.787], [0.572, 0.572, 0.213], [0.204, 0.714, 0.227], [0.248, 0.248, 0.709], [0.286, 0.796, 0.773], [0.714, 0.204, 0.227], [0.752, 0.752, 0.291], [0.796, 0.286, 0.773]]}



[3]
{"formula": "Nd2Er7Sc3", "functional": "PBE-GGA", "state": "relaxed", "e_form_ev_per_atom": 0.1695, "space_group": "Cmmm", "lattice_angstrom": [[2.772, -18.542, 0.000], [2.772, 18.542, 0.000], [0.000, 0.000, 3.516]], "species": ["Nd", "Nd", "Er", "Er", "Er", "Er", "Er", "Er", "Er", "Sc", "Sc", "Sc"], "frac_coords": [[0.148, 0.852, 0.000], [0.852, 0.148, 0.000], [0.000, 0.000, 0.000], [0.070, 0.930, 0.500], [0.231, 0.769, 0.000], [0.412, 0.588, 0.000], [0.588, 0.412, 0.000], [0.769, 0.231, 0.000], [0.930, 0.070, 0.500], [0.312, 0.688, 0.500], [0.500, 0.500, 0.500], [0.688, 0.312, 0.500]]}



[4]
{"formula": "ZrRe2Tc", "functional": "PBE-GGA", "state": "relaxed", "e_form_ev_per_atom": 0.5874, "space_group": "I-42d", "lattice_angstrom": [[7.406, 0.000, 0.000], [0.000, 7.406, 0.000], [0.000, 0.000, 5.240]], "species": ["Zr", "Zr", "Zr", "Zr", "Re", "Re", "Re", "Re", "Re", "Re", "Re", "Re", "Tc", "Tc", "Tc", "Tc"], "frac_coords": [[0.000, 0.000, 0.000], [0.000, 0.500, 0.250], [0.500, 0.000, 0.750], [0.500, 0.500, 0.500], [0.217, 0.250, 0.625], [0.250, 0.717, 0.875], [0.250, 0.783, 0.375], [0.283, 0.250, 0.125], [0.717, 0.750, 0.125], [0.750, 0.217, 0.375], [0.750, 0.283, 0.875], [0.783, 0.750, 0.625], [0.000, 0.000, 0.500], [0.000, 0.500, 0.750], [0.500, 0.000, 0.250], [0.500, 0.500, 0.000]]}



[5]
{"formula": "InFeIr2", "functional": "PBE-GGA", "state": "relaxed", "e_form_ev_per_atom": 0.2490, "space_group": "R3m", "lattice_angstrom": [[2.839, 0.000, 0.000], [-1.419, 2.458, 0.000], [0.000, 0.000, 26.433]], "species": ["In", "In", "In", "Fe", "Fe", "Fe", "Ir", "Ir", "Ir", "Ir", "Ir", "Ir"], "frac_coords": [[0.000, 0.000, 0.000], [0.333, 0.667, 0.667], [0.667, 0.333, 0.333], [0.000, 0.000, 0.752], [0.333, 0.667, 0.419], [0.667, 0.333, 0.085], [0.000, 0.000, 0.244], [0.000, 0.000, 0.494], [0.333, 0.667, 0.161], [0.333, 0.667, 0.911], [0.667, 0.333, 0.578], [0.667, 0.333, 0.828]]}



[6]
{"formula": "BePPb2", "functional": "PBE-GGA", "state": "relaxed", "e_form_ev_per_atom": 0.2615, "space_group": "Cmm2", "lattice_angstrom": [[3.723, 0.000, 0.000], [0.000, 5.657, 0.000], [0.000, 0.000, 8.974]], "species": ["Be", "Be", "P", "P", "Pb", "Pb", "Pb", "Pb"], "frac_coords": [[0.000, 0.000, 0.000], [0.500, 0.500, 0.000], [0.000, 0.500, 0.906], [0.500, 0.000, 0.906], [0.000, 0.000, 0.610], [0.000, 0.500, 0.251], [0.500, 0.000, 0.251], [0.500, 0.500, 0.610]]}



[7]
{"formula": "Y2GeAu3", "functional": "PBE-GGA", "state": "relaxed", "e_form_ev_per_atom": -0.7968, "space_group": "Pmm2", "lattice_angstrom": [[3.496, 0.000, 0.000], [0.000, 4.555, 0.000], [0.000, 0.000, 8.135]], "species": ["Y", "Y", "Ge", "Au", "Au", "Au"], "frac_coords": [[0.000, 0.000, 0.000], [0.000, 0.500, 0.484], [0.500, 0.500, 0.823], [0.500, 0.000, 0.332], [0.500, 0.000, 0.671], [0.500, 0.500, 0.144]]}



[8]
{"formula": "Ac3Cu3Rh2", "functional": "PBE-GGA", "state": "relaxed", "e_form_ev_per_atom": -0.4003, "space_group": "P2_1/m", "lattice_angstrom": [[4.279, 0.000, 0.000], [0.000, 16.235, 0.000], [-2.137, 0.000, 5.607]], "species": ["Ac", "Ac", "Ac", "Ac", "Ac", "Ac", "Cu", "Cu", "Cu", "Cu", "Cu", "Cu", "Rh", "Rh", "Rh", "Rh"], "frac_coords": [[0.087, 0.250, 0.176], [0.361, 0.086, 0.723], [0.361, 0.414, 0.723], [0.639, 0.586, 0.277], [0.639, 0.914, 0.277], [0.913, 0.750, 0.824], [0.075, 0.055, 0.151], [0.075, 0.445, 0.151], [0.199, 0.750, 0.399], [0.801, 0.250, 0.601], [0.925, 0.555, 0.849], [0.925, 0.945, 0.849], [0.335, 0.620, 0.669], [0.335, 0.880, 0.669], [0.665, 0.120, 0.331], [0.665, 0.380, 0.331]]}